# 1
Entry from OQMD via LeMat-Bulk: a relaxed structure of CsIrI6 (GGA-PBE).

Cell lengths 7.094, 7.094, 14.937 Å; angles 99.18, 99.18, 59.97 degrees
Atoms (fractional coordinates):
1 Cs 0.076 0.924 0.750
2 Cs 0.924 0.076 0.250
3 Ir 0.000 0.500 0.000
4 Ir 0.500 0.000 0.500
5 I 0.076 0.205 0.525
6 I 0.200 0.395 0.847
7 I 0.205 0.076 0.025
8 I 0.337 0.530 0.104
9 I 0.395 0.200 0.347
10 I 0.470 0.663 0.396
11 I 0.530 0.337 0.604
12 I 0.605 0.800 0.653
13 I 0.663 0.470 0.896
14 I 0.795 0.924 0.975
15 I 0.800 0.605 0.153
16 I 0.924 0.795 0.475

Computed properties:
E: -0.10082 Ha/atom
Crystal system: monoclinic


# 2
Entry from OQMD via LeMat-Bulk: a relaxed structure of Cs2KNdI6 (GGA-PBE).

Cell lengths 9.182, 9.182, 9.182 Å; angles 60.00, 60.00, 60.00 degrees
Atoms (fractional coordinates):
1 Cs 0.250 0.250 0.250
2 Cs 0.750 0.750 0.750
3 K 0.000 0.000 0.000
4 Nd 0.500 0.500 0.500
5 I 0.261 0.261 0.739
6 I 0.261 0.739 0.261
7 I 0.261 0.739 0.739
8 I 0.739 0.261 0.261
9 I 0.739 0.261 0.739
10 I 0.739 0.739 0.261

Computed properties:
E: -0.11643 Ha/atom
Crystal system: cubic


# 3
Entry from OQMD via LeMat-Bulk: a relaxed structure of Cs2KPrI6 (GGA-PBE).

Cell lengths 9.214, 9.214, 9.214 Å; angles 60.00, 60.00, 60.00 degrees
Atoms (fractional coordinates):
1 Cs 0.250 0.250 0.250
2 Cs 0.750 0.750 0.750
3 K 0.000 0.000 0.000
4 Pr 0.500 0.500 0.500
5 I 0.260 0.260 0.740
6 I 0.260 0.740 0.260
7 I 0.260 0.740 0.740
8 I 0.740 0.260 0.260
9 I 0.740 0.260 0.740
10 I 0.740 0.740 0.260

Computed properties:
E: -0.11646 Ha/atom
Crystal system: cubic


# 4
Entry from OQMD via LeMat-Bulk: a relaxed structure of Cs2LiPrI6 (GGA-PBE).

Cell lengths 8.650, 8.650, 8.650 Å; angles 120.09, 120.09, 89.85 degrees
Atoms (fractional coordinates):
1 Cs 0.250 0.750 0.500
2 Cs 0.750 0.250 0.500
3 Li 0.000 0.000 0.000
4 Pr 0.500 0.500 0.000
5 I 0.244 0.244 0.000
6 I 0.244 0.244 0.487
7 I 0.244 0.756 0.000
8 I 0.756 0.244 0.000
9 I 0.756 0.756 0.000
10 I 0.756 0.756 0.513

Computed properties:
E: -0.11794 Ha/atom
Crystal system: tetragonal


# 5
Entry from OQMD via LeMat-Bulk: a relaxed structure of Cs2LiTbI6 (GGA-PBE).

Cell lengths 8.538, 8.538, 8.538 Å; angles 120.06, 120.06, 89.89 degrees
Atoms (fractional coordinates):
1 Cs 0.250 0.750 0.500
2 Cs 0.750 0.250 0.500
3 Li 0.000 0.000 0.000
4 Tb 0.500 0.500 0.000
5 I 0.248 0.248 0.497
6 I 0.248 0.752 0.000
7 I 0.249 0.249 0.000
8 I 0.751 0.751 0.000
9 I 0.752 0.248 0.000
10 I 0.752 0.752 0.503

Computed properties:
E: -0.11727 Ha/atom
Crystal system: tetragonal


# 6
Entry from OQMD via LeMat-Bulk: a relaxed structure of CsMo3I7 (GGA-PBE).

Cell lengths 10.968, 10.968, 16.899 Å; angles 90.00, 90.00, 120.00 degrees
Atoms (fractional coordinates):
1 Cs 0.000 0.000 0.000
2 Cs 0.000 0.000 0.500
3 Cs 0.333 0.667 0.250
4 Cs 0.667 0.333 0.750
5 Mo 0.191 0.526 0.685
6 Mo 0.191 0.665 0.815
7 Mo 0.335 0.526 0.815
8 Mo 0.335 0.809 0.685
9 Mo 0.474 0.665 0.685
10 Mo 0.474 0.809 0.815
11 Mo 0.526 0.191 0.185
12 Mo 0.526 0.335 0.315
13 Mo 0.665 0.191 0.315
14 Mo 0.665 0.474 0.185
15 Mo 0.809 0.335 0.185
16 Mo 0.809 0.474 0.315
17 I 0.034 0.346 0.091
18 I 0.034 0.688 0.409
19 I 0.041 0.369 0.820
20 I 0.041 0.672 0.680
21 I 0.312 0.346 0.409
22 I 0.312 0.966 0.091
23 I 0.328 0.369 0.680
24 I 0.328 0.959 0.820
25 I 0.333 0.667 0.549
26 I 0.333 0.667 0.951
27 I 0.346 0.034 0.591
28 I 0.346 0.312 0.909
29 I 0.369 0.041 0.320
30 I 0.369 0.328 0.180
31 I 0.631 0.672 0.820
32 I 0.631 0.959 0.680
33 I 0.654 0.688 0.091
34 I 0.654 0.966 0.409
35 I 0.667 0.333 0.049
36 I 0.667 0.333 0.451
37 I 0.672 0.041 0.180
38 I 0.672 0.631 0.320
39 I 0.688 0.034 0.909
40 I 0.688 0.654 0.591
41 I 0.959 0.328 0.320
42 I 0.959 0.631 0.180
43 I 0.966 0.312 0.591
44 I 0.966 0.654 0.909

Computed properties:
E: -0.16928 Ha/atom
Crystal system: trigonal